## CaGa4Ir3 (PBE-GGA)

Data for a relaxed CaGa4Ir3 crystal.

Cell: 4.2152 4.2152 8.2904 Å, 90.00 90.00 90.00°
With the nearest neighbours (Å) after each atom.
Sites, in units of the cell vectors:
Ca 0.0000 0.0000 0.0000  8 Ir 3.23, 8 Ga 3.40
Ga 0.0000 0.5000 0.3222  4 Ir 2.55-2.57
Ga 0.0000 0.5000 0.6778  4 Ir 2.55-2.57
Ga 0.5000 0.0000 0.3222  4 Ir 2.55-2.57
Ga 0.5000 0.0000 0.6778  4 Ir 2.55-2.57
Ir 0.0000 0.0000 0.5000  8 Ga 2.57
Ir 0.5000 0.5000 0.1496  1 Ir 2.48, 4 Ga 2.55
Ir 0.5000 0.5000 0.8504  1 Ir 2.48, 4 Ga 2.55

energy of formation: -0.477 eV/atom
electronic total energy: -5.56 eV per atom